(1)
A plane-wave DFT calculation with PBE was carried out for a relaxed structure of Er5Sn2Hg2.

Calculated values
The space group is No. 64. The formation enthalpy at 0 K is -0.515 eV/atom.

```
Er5Sn2Hg2
1.0
7.803 -4.085 0.000
7.803 4.085 0.000
0.000 0.000 7.761
Er Sn Hg
10 4 4
Cartesian
0.000 0.000 0.000
5.656 2.670 5.157
5.656 1.415 1.276
9.950 2.670 5.157
9.950 1.415 1.276
7.803 0.000 3.881
5.656 -1.415 6.485
5.656 -2.670 2.604
9.950 -1.415 6.485
9.950 -2.670 2.604
3.214 0.000 0.000
4.589 0.000 3.881
11.018 0.000 3.881
12.392 0.000 0.000
7.803 2.993 2.865
7.803 1.092 6.746
7.803 -1.092 1.015
7.803 -2.993 4.896
```

***

(2)
A plane-wave DFT calculation with PBE was carried out for a relaxed structure of MoOsCl3.

Calculated values
As for the raw formation energy: 0.995 eV/atom. The space group is No. 221.

```
MoOsCl3
1.0
4.826 0.000 0.000
0.000 4.826 0.000
0.000 0.000 4.826
Mo Os Cl
1 1 3
Cartesian
0.000 0.000 0.000
2.413 2.413 2.413
0.000 2.413 2.413
2.413 0.000 2.413
2.413 2.413 0.000
```

***

(3)
A plane-wave DFT calculation with PBE was carried out for a relaxed structure of Sm5Fe2Hg2.

Calculated values
The space group is No. 64. The formation enthalpy at 0 K is -0.150 eV/atom.

```
Sm5Fe2Hg2
1.0
8.368 -3.712 0.000
8.368 3.712 0.000
0.000 0.000 7.536
Sm Fe Hg
10 4 4
Cartesian
0.000 0.000 0.000
6.290 2.357 5.134
6.290 1.355 1.366
10.447 2.357 5.134
10.447 1.355 1.366
8.368 0.000 3.768
6.290 -1.355 6.170
6.290 -2.357 2.402
10.447 -1.355 6.170
10.447 -2.357 2.402
8.368 2.956 2.975
8.368 0.755 6.743
8.368 -0.755 0.793
8.368 -2.956 4.562
3.715 0.000 0.000
4.654 0.000 3.768
12.083 0.000 3.768
13.022 0.000 0.000
```

***

(4)
A plane-wave DFT calculation with PBE was carried out for a relaxed structure of Sm6As2PbS3.

Calculated values
As for the raw formation energy: -1.589 eV/atom. The space group is No. 12.

```
Sm6As2PbS3
1.0
9.090 -2.081 0.000
9.090 2.081 0.000
-1.853 0.000 8.164
Sm As Pb S
6 2 1 3
Cartesian
-0.427 0.000 1.885
16.755 0.000 6.279
5.178 0.000 3.366
4.342 0.000 7.483
11.985 0.000 0.681
11.150 0.000 4.798
1.497 0.000 6.813
14.831 0.000 1.351
8.164 0.000 4.082
2.407 0.000 2.709
9.090 0.000 0.000
13.920 0.000 5.455
```

***

(5)
A plane-wave DFT calculation with PBE was carried out for a relaxed structure of MgAg2Ru.

Calculated values
The space group is No. 216. The formation enthalpy at 0 K is 0.266 eV/atom.

```
MgAg2Ru
1.0
6.450 0.000 0.000
0.000 6.450 0.000
0.000 0.000 6.450
Mg Ag Ru
4 8 4
Cartesian
0.000 0.000 0.000
0.000 3.225 3.225
3.225 0.000 3.225
3.225 3.225 0.000
0.000 0.000 3.225
0.000 3.225 0.000
1.612 1.612 1.612
1.612 4.837 4.837
3.225 0.000 0.000
3.225 3.225 3.225
4.837 1.612 4.837
4.837 4.837 1.612
1.612 1.612 4.837
1.612 4.837 1.612
4.837 1.612 1.612
4.837 4.837 4.837
```

***

(6)
A plane-wave DFT calculation with PBE was carried out for a relaxed structure of TbSm3Ni8.

Calculated values
The space group is No. 160. The formation enthalpy at 0 K is -0.380 eV/atom.

```
TbSm3Ni8
1.0
2.557 1.476 8.375
-2.557 1.476 8.375
0.000 -2.953 8.375
Tb Sm Ni
1 3 8
Cartesian
0.000 0.000 0.000
0.000 0.000 3.132
0.000 0.000 12.565
0.000 0.000 15.706
0.000 -1.481 5.770
-1.279 -0.738 9.931
-1.283 0.740 5.770
0.000 0.000 7.856
1.279 -0.738 9.931
0.000 1.477 9.931
1.283 0.740 5.770
0.000 0.000 20.413
```

***

| no. | ρ (g/cm3) | total energy (Ha/atom) |
| --- | --- | --- |
| 1 | 9.90 | -0.147 |
| 2 | 5.80 | -0.166 |
| 3 | 8.97 | -0.173 |
| 4 | 7.29 | -0.223 |
| 5 | 8.44 | -0.142 |
| 6 | 9.45 | -0.213 |